Model one:
The following is a DFT calculation (PBE-GGA) of an optimized crystal structure of MgCd2Hg.

Cell: 5.353 3.326 5.125 Å, 92.50 90.00 90.00°
Atoms (fractional coordinates):
Cd1 0.000 0.487 0.504
Cd2 0.000 0.013 0.996
Mg1 0.500 0.750 0.750
Hg1 0.500 0.250 0.250

Calculated values
- Crystal system: monoclinic
- Spin magnetization: 0.000 μB/atom
- D(E_F): 1.0 states/eV per cell


Model two:
The following is a DFT calculation (PBE-GGA) of an optimized crystal structure of MgCd2Hg.

Cell: 5.179 5.179 5.186 Å, 78.41 78.41 42.01°
Atoms (fractional coordinates):
Cd1 0.251 0.251 0.239
Hg1 0.496 0.496 0.518
Cd2 0.001 0.001 0.006
Mg1 0.752 0.752 0.737

Calculated values
- Crystal system: monoclinic
- Spin magnetization: 0.000 μB/atom
- D(E_F): 0.7 states/eV per cell


Model three:
The following is a DFT calculation (PBE-GGA) of an optimized crystal structure of MgCd2Hg.

Cell: 5.324 6.045 11.150 Å, 90.00 90.00 90.00°
Atoms (fractional coordinates):
Hg1 0.912 0.600 0.250
Mg1 0.412 0.400 0.250
Cd1 0.246 0.129 0.007
Mg2 0.912 0.100 0.250
Cd2 0.246 0.129 0.493
Hg2 0.588 0.100 0.750
Mg3 0.588 0.600 0.750
Hg3 0.412 0.900 0.250
Cd3 0.754 0.871 0.993
Cd4 0.754 0.871 0.507
Cd5 0.254 0.629 0.507
Mg4 0.088 0.900 0.750
Hg4 0.088 0.400 0.750
Cd6 0.746 0.371 0.493
Cd7 0.254 0.629 0.993
Cd8 0.746 0.371 0.007

Calculated values
- Crystal system: orthorhombic
- Spin magnetization: 0.000 μB/atom
- D(E_F): 5.0 states/eV per cell


Model four:
The following is a DFT calculation (PBE-GGA) of an optimized crystal structure of MgCd2Hg.

Cell: 9.446 9.446 9.446 Å, 20.69 20.69 20.69°
Atoms (fractional coordinates):
Mg1 0.751 0.751 0.751
Cd1 0.001 0.001 0.001
Cd2 0.250 0.250 0.250
Hg1 0.498 0.498 0.498

Calculated values
- Crystal system: trigonal
- Spin magnetization: 0.000 μB/atom
- D(E_F): 1.8 states/eV per cell


The structure with the least stability is model four.


Model one:
The following is a DFT calculation (PBE-GGA) of an optimized crystal structure of MgCd2Hg.

Cell: 3.262 3.262 8.561 Å, 90.00 90.00 89.96°
Atoms (fractional coordinates):
Mg1 0.500 0.500 0.750
Hg1 0.500 0.500 0.250
Cd1 0.000 0.000 0.990
Cd2 0.000 0.000 0.510

Calculated values
- Crystal system: tetragonal
- Spin magnetization: 0.000 μB/atom
- D(E_F): 1.7 states/eV per cell


Model two:
The following is a DFT calculation (PBE-GGA) of an optimized crystal structure of MgCd2Hg.

Cell: 4.196 3.405 7.183 Å, 60.75 90.00 90.00°
Atoms (fractional coordinates):
Hg1 0.000 0.488 0.513
Mg1 0.500 0.760 0.740
Cd1 0.500 0.254 0.245
Cd2 0.000 0.998 0.002

Calculated values
- Crystal system: monoclinic
- Spin magnetization: 0.000 μB/atom
- D(E_F): 1.2 states/eV per cell


The structure with the least stability is model one.


Model one:
The following is a DFT calculation (PBE-GGA) of an optimized crystal structure of MgCd2Hg.

Cell: 5.931 5.931 5.931 Å, 146.67 126.54 64.47°
Atoms (fractional coordinates):
Mg1 0.255 0.755 0.500
Cd1 0.004 0.004 0.000
Hg1 0.493 0.493 0.000
Cd2 0.748 0.248 0.500

Calculated values
- Crystal system: orthorhombic
- Spin magnetization: 0.000 μB/atom
- D(E_F): 1.4 states/eV per cell


Model two:
The following is a DFT calculation (PBE-GGA) of an optimized crystal structure of MgCd2Hg.

Cell: 5.405 5.405 5.405 Å, 130.68 130.68 72.32°
Atoms (fractional coordinates):
Mg1 0.750 0.250 0.500
Cd1 0.000 0.000 0.000
Cd2 0.250 0.750 0.500
Hg1 0.500 0.500 0.000

Calculated values
- Crystal system: tetragonal
- Spin magnetization: 0.000 μB/atom
- D(E_F): 1.4 states/eV per cell


Model three:
The following is a DFT calculation (PBE-GGA) of an optimized crystal structure of MgCd2Hg.

Cell: 5.149 5.149 3.674 Å, 90.00 90.00 110.05°
Atoms (fractional coordinates):
Cd1 0.000 0.000 0.000
Hg1 0.500 0.000 0.500
Mg1 0.000 0.500 0.500
Cd2 0.500 0.500 0.000

Calculated values
- Crystal system: orthorhombic
- Spin magnetization: 0.000 μB/atom
- D(E_F): 1.2 states/eV per cell


The structure with the least stability is model one.